--- A ---
SCAN AlTlSb2, PBEsol geometry; space group = I-42d; mass density = 6.05 g/cm³
1.0
6.391 0.000 0.000
0.000 6.391 0.000
-3.196 -3.196 6.383
Al Tl Sb
2 2 4
Cartesian
3.196 0.000 3.191 Al
3.196 3.196 0.000 Al
0.000 3.196 3.191 Tl
0.000 0.000 0.000 Tl
4.626 1.598 1.596 Sb
-1.598 -1.430 4.787 Sb
1.766 4.793 1.596 Sb
1.598 1.430 4.787 Sb


--- B ---
SCAN AlTlSb2, PBEsol geometry; space group = P4/mmm; mass density = 7.79 g/cm³
1.0
-3.728 -0.502 0.394
0.316 -3.480 -1.447
1.037 -2.607 6.496
Sb Al Tl
2 1 1
Cartesian
0.213 -0.534 1.332 Sb
0.825 -2.073 5.165 Sb
-1.706 -1.991 -0.527 Al
-1.187 -3.294 2.722 Tl


Most stable structure - A; separation to the second - 0.190 eV/atom.


--- A ---
SCAN AlSbW2, PBEsol geometry; space group = P4/mmm; mass density = 12.78 g/cm³
1.0
3.360 0.000 0.000
0.000 3.360 0.000
0.000 0.000 5.944
W Al Sb
2 1 1
Cartesian
0.000 0.000 4.656 W
0.000 0.000 1.288 W
1.680 1.680 0.000 Al
1.680 1.680 2.972 Sb


--- B ---
SCAN AlSbW2, PBEsol geometry; space group = I-4m2; mass density = 12.98 g/cm³
1.0
4.046 0.000 0.000
0.000 4.046 0.000
-2.023 -2.023 4.035
Al W Sb
1 2 1
Cartesian
2.023 2.023 0.000 Al
0.000 0.000 0.000 W
2.023 0.000 2.018 W
0.000 2.023 2.018 Sb


Most stable structure - B; separation to the second - 0.039 eV/atom.


--- A ---
SCAN AlZn2Sb, PBEsol geometry; space group = Cmm2; mass density = 6.34 g/cm³
1.0
3.134 0.028 0.000
-0.210 3.127 0.000
0.000 0.000 7.467
Al Zn Sb
1 2 1
Cartesian
0.000 0.000 4.044 Al
0.000 0.000 7.161 Zn
1.462 1.577 5.645 Zn
1.462 1.577 1.818 Sb


--- B ---
SCAN AlZn2Sb, PBEsol geometry; space group = I-42d; mass density = 5.93 g/cm³
1.0
-2.449 4.179 2.770
-5.727 1.207 -1.265
-2.771 -1.308 5.144
Al Zn Sb
2 4 2
Cartesian
-1.225 2.089 1.385 Al
-4.861 0.994 2.632 Al
-2.330 0.935 3.555 Zn
-9.229 4.188 3.787 Zn
-5.888 -0.145 4.848 Zn
-4.447 3.178 1.108 Zn
0.000 0.000 0.000 Sb
-6.086 3.084 4.017 Sb


Most stable structure - A; separation to the second - 0.052 eV/atom.


--- A ---
SCAN Sc2AlSe, PBEsol geometry; space group = R-3m; mass density = 3.46 g/cm³
1.0
3.483 0.000 0.000
1.741 3.016 0.000
1.741 1.005 8.947
Se Sc Al
1 2 1
Cartesian
3.483 2.011 4.473 Se
5.224 3.016 2.817 Sc
1.741 1.005 6.130 Sc
0.000 0.000 0.000 Al


--- B ---
SCAN Sc2AlSe, PBEsol geometry; space group = P4/mmm; mass density = 3.93 g/cm³
1.0
3.876 0.000 0.000
0.000 3.876 0.000
0.000 0.000 5.514
Sc Se Al
2 1 1
Cartesian
1.938 1.938 2.069 Sc
0.000 0.000 4.824 Sc
0.000 0.000 2.067 Se
1.938 1.938 4.826 Al


Most stable structure - B; separation to the second - 0.417 eV/atom.


--- A ---
SCAN Sc2AlTc, PBEsol geometry; space group = Imm2; mass density = 5.01 g/cm³
1.0
-1.320 0.132 -3.134
0.083 -4.521 -0.226
-3.641 2.023 3.467
Tc Al Sc
1 1 2
Cartesian
-0.728 -2.198 -1.634 Tc
-1.864 -2.338 0.687 Al
-4.827 -2.363 0.086 Sc
-2.955 -0.027 -0.604 Sc


--- B ---
SCAN Sc2AlTc, PBEsol geometry; space group = R3m; mass density = 4.73 g/cm³
1.0
3.119 0.000 0.000
1.559 2.701 0.000
1.559 0.900 8.952
Sc Al Tc
2 1 1
Cartesian
4.678 2.701 0.212 Sc
4.678 2.701 6.310 Sc
1.559 0.900 2.552 Al
3.119 1.801 4.354 Tc


--- C ---
SCAN Sc2AlTc, PBEsol geometry; space group = P4/mmm; mass density = 5.04 g/cm³
1.0
-0.064 1.957 -2.682
0.986 -2.550 -1.884
-6.136 -1.612 -1.031
Sc Al Tc
2 1 1
Cartesian
-2.932 -0.770 -0.492 Sc
-0.137 -0.036 -0.023 Sc
-4.141 -1.506 -3.056 Al
-1.073 -0.700 -2.540 Tc


--- D ---
SCAN Sc2AlTc, PBEsol geometry; space group = Cmmm; mass density = 4.95 g/cm³
1.0
2.941 -0.011 0.000
-0.887 2.804 0.000
0.000 0.000 8.749
Sc Tc Al
2 1 1
Cartesian
0.000 0.000 2.393 Sc
0.000 0.000 6.356 Sc
1.027 1.397 4.375 Tc
1.027 1.397 0.000 Al


Most stable structure - C; separation to the second - 0.095 eV/atom.


--- A ---
SCAN Ta2AlSe, PBEsol geometry; space group = F-43m; mass density = 11.41 g/cm³
1.0
-1.746 0.570 -4.200
-4.072 -1.821 -1.056
-3.636 2.721 -0.621
Ta Al Se
2 1 1
Cartesian
-7.090 1.102 -4.408 Ta
0.000 0.000 0.000 Ta
-4.727 0.735 -2.938 Al
-2.363 0.367 -1.469 Se


--- B ---
SCAN Ta2AlSe, PBEsol geometry; space group = C2/m; mass density = 11.46 g/cm³
1.0
3.159 0.000 0.000
0.000 4.735 -0.010
-1.579 -0.554 4.535
Ta Se Al
2 1 1
Cartesian
1.579 3.296 2.274 Ta
0.000 0.886 2.250 Ta
0.000 2.368 -0.005 Se
1.579 0.000 0.000 Al


Most stable structure - B; separation to the second - 0.280 eV/atom.


--- A ---
SCAN Ta2AlSe, PBEsol geometry; space group = P4/mmm; mass density = 11.81 g/cm³
1.0
-0.956 2.869 0.241
-1.122 -0.139 -2.815
-6.247 -2.300 2.604
Se Al Ta
1 1 2
Cartesian
-1.039 1.365 -1.287 Se
-4.163 0.215 0.015 Al
-1.476 -0.543 0.615 Ta
-4.772 -1.757 1.989 Ta


--- B ---
SCAN Ta2AlSe, PBEsol geometry; space group = Cmm2; mass density = 10.65 g/cm³
1.0
2.928 -0.011 0.000
-0.784 2.821 0.000
0.000 0.000 8.841
Al Ta Se
1 2 1
Cartesian
0.000 0.000 4.640 Al
0.000 0.000 0.012 Ta
1.072 1.405 6.679 Ta
1.072 1.405 1.930 Se


--- C ---
SCAN Ta2AlSe, PBEsol geometry; space group = R-3m; mass density = 11.42 g/cm³
1.0
3.032 0.000 0.000
1.516 2.626 0.000
1.516 0.875 8.550
Ta Al Se
2 1 1
Cartesian
4.548 2.626 6.550 Ta
1.516 0.875 1.999 Ta
3.032 1.750 4.275 Al
0.000 0.000 0.000 Se


Most stable structure - A; separation to the second - 0.036 eV/atom.


--- A ---
SCAN Y2AlSe, PBEsol geometry; space group = R-3m; mass density = 4.83 g/cm³
1.0
-3.034 -1.260 -2.019
0.541 -1.869 -3.329
-0.585 -7.626 1.954
Se Y Al
1 2 1
Cartesian
0.000 0.000 0.000 Se
-0.773 -2.582 -0.909 Y
-2.304 -8.173 -2.485 Y
-1.539 -5.378 -1.697 Al


--- B ---
SCAN Y2AlSe, PBEsol geometry; space group = Imm2; mass density = 4.88 g/cm³
1.0
3.601 0.000 0.000
0.000 4.535 0.000
-1.800 -2.268 5.907
Y Se Al
2 1 1
Cartesian
1.800 2.268 5.483 Y
1.800 0.000 2.715 Y
0.000 2.268 3.177 Se
1.800 2.268 0.440 Al


--- C ---
SCAN Y2AlSe, PBEsol geometry; space group = P4/mmm; mass density = 5.23 g/cm³
1.0
-2.794 1.088 1.649
-1.750 -0.036 -2.941
-2.065 -7.298 1.317
Se Y Al
1 2 1
Cartesian
-2.272 0.526 -0.646 Se
-1.575 -5.566 1.004 Y
-0.490 -1.733 0.313 Y
-3.305 -3.123 0.012 Al


Most stable structure - A; separation to the second - 0.192 eV/atom.


--- A ---
SCAN AlSi5, PBEsol geometry; space group = P4/mmm; mass density = 3.23 g/cm³
1.0
-1.686 -0.762 -2.025
-1.651 -1.205 1.829
-5.839 9.785 1.177
Al Si
1 5
Cartesian
-1.668 -0.984 -0.098 Al
-5.551 5.523 0.685 Si
-0.996 1.669 0.201 Si
-2.920 4.893 0.588 Si
-3.625 2.295 0.296 Si
-4.843 8.116 0.976 Si


--- B ---
SCAN AlSi5, PBEsol geometry; space group = P6/mmm; mass density = 2.96 g/cm³
1.0
4.393 0.000 0.000
0.000 4.967 0.000
0.000 -2.484 4.302
Al Si
1 5
Cartesian
0.000 0.000 0.000 Al
0.000 0.000 2.868 Si
2.197 2.484 0.000 Si
2.197 -1.242 2.151 Si
2.197 1.242 2.151 Si
0.000 2.484 1.434 Si


Most stable structure - A; separation to the second - 0.112 eV/atom.


--- A ---
SCAN AlSi3, PBEsol geometry; space group = R-3m; mass density = 3.10 g/cm³
1.0
-2.198 1.738 -0.437
-2.148 -3.549 2.821
3.196 3.085 2.330
Si Al
3 1
Cartesian
-2.173 -0.905 1.192 Si
0.524 -0.232 2.575 Si
0.499 2.412 0.946 Si
0.000 0.000 0.000 Al


--- B ---
SCAN AlSi3, PBEsol geometry; space group = Pmmm; mass density = 3.19 g/cm³
1.0
2.797 0.000 0.000
0.000 3.787 0.000
0.000 0.000 5.462
Si Al
3 1
Cartesian
0.000 0.000 2.731 Si
1.399 1.894 1.430 Si
1.399 1.894 4.032 Si
0.000 0.000 0.000 Al


Most stable structure - B; separation to the second - 0.051 eV/atom.


--- A ---
SCAN AlSiTc2, PBEsol geometry; space group = F-43m; mass density = 7.70 g/cm³
1.0
-2.853 -2.881 1.263
-0.409 -3.656 -2.122
1.295 -3.638 1.768
Si Al Tc
1 1 2
Cartesian
-0.492 -2.544 0.227 Si
-0.983 -5.087 0.455 Al
-1.475 -7.631 0.682 Tc
0.000 0.000 0.000 Tc


--- B ---
SCAN AlSiTc2, PBEsol geometry; space group = C2/m; mass density = 7.54 g/cm³
1.0
-1.722 2.249 -0.427
-1.270 -3.286 -2.575
-2.281 -0.964 4.122
Tc Si Al
2 1 1
Cartesian
-1.544 -1.251 -0.363 Tc
-3.729 -0.750 1.483 Tc
-0.861 1.124 -0.213 Si
-1.140 -0.482 2.061 Al


Most stable structure - B; separation to the second - 0.140 eV/atom.


--- A ---
SCAN AlSiTc2, PBEsol geometry; space group = I-4m2; mass density = 7.70 g/cm³
1.0
3.683 0.000 0.000
0.000 3.683 0.000
-1.842 -1.842 3.991
Tc Al Si
2 1 1
Cartesian
1.842 0.000 1.996 Tc
0.000 0.000 0.000 Tc
1.842 1.842 0.000 Al
0.000 1.842 1.996 Si


--- B ---
SCAN AlSiTc2, PBEsol geometry; space group = P4/mmm; mass density = 7.93 g/cm³
1.0
-0.077 -2.916 -0.618
3.940 -0.399 1.393
-1.445 -0.781 3.863
Si Al Tc
1 1 2
Cartesian
-0.039 -1.458 -0.309 Si
1.209 -2.048 2.319 Al
-0.722 -0.390 1.932 Tc
1.970 -0.200 0.696 Tc


Most stable structure - B; separation to the second - 0.228 eV/atom.